# GGA+U V2F7, relaxed
data_V2F7
_space_group_name_H-M_alt 'P 1'
_space_group_IT_number 1
_cell_length_a 8.007
_cell_length_b 4.805
_cell_length_c 13.638
_cell_angle_alpha 90.00
_cell_angle_beta 93.80
_cell_angle_gamma 90.00
loop_
_space_group_symop_operation_xyz
'x,y,z'
loop_
_atom_site_label
_atom_site_type_symbol
_atom_site_fract_x
_atom_site_fract_y
_atom_site_fract_z
V1 V 0.067 0.000 0.103
V2 V 0.184 0.497 0.301
V3 V 0.322 0.992 0.497
V4 V 0.335 0.493 0.960
V5 V 0.665 0.993 0.040
V6 V 0.678 0.492 0.503
V7 V 0.816 0.997 0.699
V8 V 0.933 0.500 0.897
F1 F 0.001 0.675 0.330
F2 F 0.046 0.234 0.222
F3 F 0.100 0.737 0.985
F4 F 0.143 0.308 0.879
F5 F 0.149 0.784 0.522
F6 F 0.183 0.264 0.420
F7 F 0.195 0.729 0.181
F8 F 0.246 0.238 0.065
F9 F 0.322 0.783 0.371
F10 F 0.339 0.200 0.602
F11 F 0.367 0.327 0.267
F12 F 0.372 0.707 0.855
F13 F 0.477 0.716 0.052
F14 F 0.480 0.710 0.549
F15 F 0.520 0.210 0.451
F16 F 0.523 0.216 0.948
F17 F 0.628 0.207 0.145
F18 F 0.633 0.827 0.733
F19 F 0.661 0.700 0.398
F20 F 0.678 0.283 0.629
F21 F 0.754 0.738 0.935
F22 F 0.805 0.229 0.819
F23 F 0.817 0.764 0.580
F24 F 0.851 0.284 0.478
F25 F 0.857 0.808 0.121
F26 F 0.900 0.237 0.015
F27 F 0.954 0.734 0.778
F28 F 0.999 0.175 0.670
# VASP energy ... -5.79 eV/atom
# V ... 14.54 A^3/atom